# 1
A geometry-optimized Cs2Sn2AsS2 structure. Source: Alexandria via LeMat-Bulk, functional PBE.

```
Cs2Sn2AsS2
1.0
-0.213 -5.142 0.704
6.007 -5.834 -3.479
8.502 -2.406 3.205
As S Cs Sn
1 2 2 2
Direct
0.000 0.000 0.000 As
0.103 0.613 0.580 S
0.897 0.387 0.420 S
0.310 0.079 0.236 Cs
0.690 0.921 0.764 Cs
0.259 0.583 0.309 Sn
0.741 0.417 0.691 Sn
```

## Properties
N(E_F) (states/eV/f.u.): 0.67
Volume (Å³/f.u.): 281.6
Uncorrected formation energy (eV per atom): -0.5205

=====

# 2
A geometry-optimized Cs12CdAu5 structure. Source: Alexandria via LeMat-Bulk, functional PBE.

```
Cs12CdAu5
1.0
10.445 0.022 -4.177
-5.346 9.359 -3.223
-0.185 -0.022 11.248
Cs Au Cd
12 5 1
Direct
0.191 0.989 0.798 Cs
0.313 0.326 0.639 Cs
0.124 0.821 0.304 Cs
0.809 0.608 0.798 Cs
0.687 0.674 0.361 Cs
0.483 0.179 0.304 Cs
0.313 0.674 0.986 Cs
0.809 0.011 0.202 Cs
0.191 0.392 0.202 Cs
0.876 0.179 0.696 Cs
0.517 0.821 0.696 Cs
0.687 0.326 0.014 Cs
0.385 0.385 0.000 Au
0.615 0.615 0.000 Au
0.500 0.891 0.391 Au
0.000 0.000 0.000 Au
0.500 0.109 0.609 Au
0.000 0.500 0.500 Cd
```

## Properties
ΔE_f (meV/atom): -185
N(E_F) (states/eV/f.u.): 6.29
Volume (Å³/f.u.): 1092.4

=====

# 3
A geometry-optimized LaHgPd structure. Source: Alexandria via LeMat-Bulk, functional PBE.

```
LaHgPd
1.0
-1.670 -4.170 -1.884
0.881 -1.090 -4.665
3.104 -3.583 -1.119
La Hg Pd
1 1 1
Direct
0.500 0.500 0.500 La
0.000 0.000 0.000 Hg
0.250 0.250 0.250 Pd
```

## Properties
ΔE_f (meV/atom): -620
N(E_F) (states/eV/f.u.): 2.53
Volume (Å³/f.u.): 81.7

=====

# 4
A geometry-optimized EuInBiPb structure. Source: Alexandria via LeMat-Bulk, functional PBE.

```
EuInBiPb
1.0
-4.290 1.277 -3.425
-3.804 -3.937 -1.340
-5.240 0.331 2.049
Pb Eu In Bi
1 1 1 1
Direct
0.500 0.500 0.500 Pb
0.000 0.000 0.000 Eu
0.250 0.250 0.250 In
0.750 0.750 0.750 Bi
```

## Properties
ΔE_f (meV/atom): -285
N(E_F) (states/eV/f.u.): 3.77
Volume (Å³/f.u.): 126.6

=====

# 5
A geometry-optimized CaSc3Pt structure. Source: Alexandria via LeMat-Bulk, functional PBE.

```
CaSc3Pt
1.0
-3.282 -3.013 1.748
3.473 -2.650 1.954
-0.262 2.608 4.004
Pt Sc Ca
1 3 1
Direct
0.500 0.500 0.500 Pt
0.000 0.500 0.000 Sc
0.000 0.000 0.500 Sc
0.500 0.000 0.000 Sc
0.000 0.000 0.000 Ca
```

## Properties
ΔE_f (meV/atom): 1160
N(E_F) (states/eV/f.u.): 4.36
Volume (Å³/f.u.): 109.6

=====

# 6
A geometry-optimized FeTc2SnH structure. Source: Alexandria via LeMat-Bulk, functional PBE.

```
FeTc2SnH
1.0
-0.912 -3.579 -1.975
2.696 0.995 -3.047
2.654 -1.671 1.803
Tc Sn H Fe
2 1 1 1
Direct
0.000 0.500 0.000 Tc
0.500 0.000 0.000 Tc
0.500 0.500 0.500 Sn
0.000 0.000 0.000 H
0.000 0.000 0.500 Fe
```

## Properties
N(E_F) (states/eV/f.u.): 4.94
E_tot (eV/atom): -7.13
Volume (Å³/f.u.): 63.5

=====

# 7
A geometry-optimized La2ZnPb structure. Source: Alexandria via LeMat-Bulk, functional PBE.

```
La2ZnPb
1.0
6.367 -0.005 -0.002
4.970 3.980 -0.002
1.977 0.693 4.561
La Pb Zn
2 1 1
Direct
0.983 0.983 0.017 La
0.757 0.757 0.743 La
0.535 0.535 0.465 Pb
0.224 0.224 0.276 Zn
```

## Properties
ΔE_f (meV/atom): -420
N(E_F) (states/eV/f.u.): 2.30
Volume (Å³/f.u.): 115.7

=====

# 8
A geometry-optimized Ac4PmTm2 structure. Source: Alexandria via LeMat-Bulk, functional PBE.

```
Ac4PmTm2
1.0
-6.454 2.842 1.340
1.526 -6.966 0.838
6.008 4.271 10.927
Tm Pm Ac
4 2 8
Direct
0.261 0.387 0.934 Tm
0.774 0.920 0.069 Tm
0.920 0.776 0.569 Tm
0.389 0.261 0.434 Tm
0.785 0.406 0.004 Pm
0.405 0.785 0.504 Pm
0.339 0.026 0.135 Ac
0.023 0.340 0.635 Ac
0.684 0.888 0.792 Ac
0.515 0.294 0.713 Ac
0.889 0.683 0.292 Ac
0.813 0.165 0.355 Ac
0.168 0.814 0.855 Ac
0.294 0.517 0.213 Ac
```

## Properties
ΔE_f (meV/atom): 102
N(E_F) (states/eV/f.u.): 10.49
Volume (Å³/f.u.): 273.1

=====

# 9
A geometry-optimized Nd6Zn2Pt structure. Source: Alexandria via LeMat-Bulk, functional PBE.

```
Nd6Zn2Pt
1.0
6.229 0.000 0.761
0.000 9.429 0.000
0.462 0.000 8.948
Zn Nd Pt
4 12 2
Direct
0.346 0.096 0.276 Zn
0.154 0.596 0.224 Zn
0.654 0.904 0.724 Zn
0.846 0.404 0.776 Zn
0.892 0.973 0.208 Nd
0.608 0.473 0.292 Nd
0.913 0.675 0.950 Nd
0.913 0.682 0.521 Nd
0.587 0.182 0.979 Nd
0.413 0.825 0.450 Nd
0.087 0.318 0.479 Nd
0.108 0.027 0.792 Nd
0.413 0.818 0.021 Nd
0.587 0.175 0.550 Nd
0.087 0.325 0.050 Nd
0.392 0.527 0.708 Nd
0.000 0.000 0.500 Pt
0.500 0.500 0.000 Pt
```

## Properties
ΔE_f (meV/atom): -303
N(E_F) (states/eV/f.u.): 10.51
Volume (Å³/f.u.): 261.1

=====

# 10
A geometry-optimized Ni4C3 structure. Source: Alexandria via LeMat-Bulk, functional PBE.

```
Ni4C3
1.0
-2.751 2.317 1.557
2.094 -2.378 2.306
3.182 3.379 0.596
Ni C
4 3
Direct
0.667 0.333 0.500 Ni
0.000 0.000 0.245 Ni
0.333 0.667 0.500 Ni
0.000 0.000 0.755 Ni
0.500 0.500 0.000 C
0.500 0.000 0.000 C
0.000 0.500 0.000 C
```

## Properties
ΔE_f (meV/atom): 1634
N(E_F) (states/eV/f.u.): 6.57
Volume (Å³/f.u.): 62.2

=====

# 11
A geometry-optimized La4As2SBr structure. Source: Alexandria via LeMat-Bulk, functional PBE.

```
La4As2SBr
1.0
-3.698 -0.582 2.149
3.820 -2.135 5.996
1.531 6.027 4.269
Br La S As
1 4 1 2
Direct
0.500 0.500 0.000 Br
0.500 0.245 0.739 La
0.500 0.755 0.261 La
0.000 0.235 0.268 La
0.000 0.765 0.732 La
0.000 0.500 0.500 S
0.500 0.000 0.500 As
0.000 0.000 0.000 As
```

## Properties
N(E_F) (states/eV/f.u.): 4.29
Volume (Å³/f.u.): 228.0
Uncorrected formation energy (eV per atom): -1.7110

=====

# 12
A geometry-optimized SmThMgAg structure. Source: Alexandria via LeMat-Bulk, functional PBE.

```
SmThMgAg
1.0
5.353 0.000 0.000
2.676 4.636 0.000
2.676 1.545 4.371
Ag Mg Sm Th
1 1 1 1
Direct
0.250 0.250 0.250 Ag
0.750 0.750 0.750 Mg
0.500 0.500 0.500 Sm
0.000 0.000 0.000 Th
```

## Properties
ΔE_f (meV/atom): -10
N(E_F) (states/eV/f.u.): 4.16
Volume (Å³/f.u.): 108.4

=====

# 13
A geometry-optimized TlGa2Se4 structure. Source: Alexandria via LeMat-Bulk, functional PBE.

```
TlGa2Se4
1.0
-1.831 0.814 5.188
1.385 -5.225 1.309
6.221 2.116 1.864
Ga Se Tl
2 4 1
Direct
0.500 0.000 0.500 Ga
0.000 0.500 0.500 Ga
0.723 0.277 0.716 Se
0.277 0.277 0.284 Se
0.723 0.723 0.284 Se
0.277 0.723 0.716 Se
0.000 0.000 0.000 Tl
```

## Properties
N(E_F) (states/eV/f.u.): 3.13
Volume (Å³/f.u.): 211.3
Uncorrected formation energy (eV per atom): -0.4495

=====

# 14
A geometry-optimized ReTcPO2 structure. Source: Alexandria via LeMat-Bulk, functional PBE.

```
ReTcPO2
1.0
3.714 0.000 0.000
0.000 3.714 0.000
0.000 0.000 5.467
O Tc Re P
2 1 1 1
Direct
0.500 0.000 0.000 O
0.000 0.500 0.000 O
0.000 0.000 0.000 Tc
0.500 0.500 0.500 Re
0.000 0.000 0.500 P
```

## Properties
N(E_F) (states/eV/f.u.): 1.35
Volume (Å³/f.u.): 75.4
Uncorrected formation energy (eV per atom): 0.0174